[1]
{
  "formula": "Tl8Cd3Hg4",
  "functional": "PBE",
  "state": "optimized geometry",
  "e_form_ev_per_atom": 0.023,
  "space_group": "P-4m2",
  "dos_at_fermi_per_ev_cell": 5.43,
  "final_energy_ry_per_atom": -0.11042,
  "magmom_total_mub_per_fu": 0.000,
  "lattice_angstrom": [[4.8693, -0.0001, 0.0000], [-0.0001, 4.8693, 0.0000], [0.0000, 0.0000, 18.2497]],
  "species": ["Hg", "Hg", "Hg", "Hg", "Tl", "Tl", "Tl", "Tl", "Tl", "Tl", "Tl", "Tl", "Cd", "Cd", "Cd"],
  "frac_coords": [[0.0000, 0.5000, 0.1043], [0.0000, 0.5000, 0.6134], [0.5000, 0.0000, 0.8957], [0.5000, 0.0000, 0.3866], [0.5000, 0.5000, 0.2426], [0.0000, 0.0000, 0.7522], [0.0000, 0.0000, 0.2478], [0.5000, 0.0000, 0.6190], [0.0000, 0.5000, 0.3810], [0.0000, 0.5000, 0.8951], [0.5000, 0.0000, 0.1049], [0.5000, 0.5000, 0.7574], [0.0000, 0.0000, 0.5000], [0.5000, 0.5000, 0.5000], [0.0000, 0.0000, 0.0000]]
}

[2]
{
  "formula": "Tl8CdHg2",
  "functional": "PBE",
  "state": "optimized geometry",
  "e_form_ev_per_atom": 0.033,
  "space_group": "Immm",
  "dos_at_fermi_per_ev_cell": 4.99,
  "final_energy_ry_per_atom": -0.13418,
  "magmom_total_mub_per_fu": 0.000,
  "lattice_angstrom": [[-4.1444, 2.2139, 1.7157], [-4.9563, -4.3603, -6.3459], [3.5116, -4.4314, 6.9091]],
  "species": ["Cd", "Tl", "Tl", "Tl", "Tl", "Tl", "Tl", "Tl", "Tl", "Hg", "Hg"],
  "frac_coords": [[0.5000, 0.0000, 0.0000], [0.0000, 0.3135, 0.9999], [0.0000, 0.6865, 0.0001], [0.6578, 0.8791, 0.3155], [0.3422, 0.1209, 0.6845], [0.6577, 0.4363, 0.3155], [0.8586, 0.8585, 0.7172], [0.3423, 0.5637, 0.6845], [0.1414, 0.1415, 0.2828], [0.1975, 0.6975, 0.3950], [0.8025, 0.3025, 0.6050]]
}

[3]
{
  "formula": "Tl2CdHg",
  "functional": "PBE",
  "state": "optimized geometry",
  "e_form_ev_per_atom": 0.036,
  "space_group": "R3m",
  "dos_at_fermi_per_ev_cell": 1.95,
  "final_energy_ry_per_atom": -0.10670,
  "magmom_total_mub_per_fu": 0.000,
  "lattice_angstrom": [[3.5723, 0.0000, 0.0000], [1.7861, 3.0937, 0.0000], [1.7861, 1.0312, 10.2998]],
  "species": ["Tl", "Tl", "Cd", "Hg"],
  "frac_coords": [[0.2486, 0.2486, 0.2541], [0.0847, 0.0847, 0.7460], [0.4991, 0.4991, 0.5028], [0.6676, 0.6676, 0.9971]]
}

[4]
{
  "formula": "Tl2Cd3Hg",
  "functional": "PBE",
  "state": "optimized geometry",
  "e_form_ev_per_atom": 0.044,
  "space_group": "Cmcm",
  "dos_at_fermi_per_ev_cell": 6.84,
  "final_energy_ry_per_atom": -0.09205,
  "magmom_total_mub_per_fu": 0.000,
  "lattice_angstrom": [[6.4178, 0.0000, 0.0000], [0.0000, 10.0740, 0.0000], [0.0000, -5.0370, 5.0028]],
  "species": ["Hg", "Hg", "Tl", "Tl", "Tl", "Tl", "Cd", "Cd", "Cd", "Cd", "Cd", "Cd"],
  "frac_coords": [[0.2500, 0.2378, 0.0000], [0.7500, 0.7622, 0.0000], [0.7500, 0.0997, 0.6539], [0.2500, 0.5542, 0.6539], [0.7500, 0.4458, 0.3461], [0.2500, 0.9003, 0.3461], [0.0000, 0.8458, 0.6917], [0.0000, 0.1542, 0.3083], [0.0000, 0.5000, 0.0000], [0.5000, 0.1542, 0.3083], [0.5000, 0.5000, 0.0000], [0.5000, 0.8458, 0.6917]]
}

[5]
{
  "formula": "Tl5Cd4Hg4",
  "functional": "PBE",
  "state": "optimized geometry",
  "e_form_ev_per_atom": 0.020,
  "space_group": "I4/m",
  "dos_at_fermi_per_ev_cell": 4.07,
  "final_energy_ry_per_atom": -0.09296,
  "magmom_total_mub_per_fu": 0.000,
  "lattice_angstrom": [[4.8787, 0.0000, 1.2404], [2.4393, 8.4848, 0.6202], [0.3486, 0.0000, 8.8434]],
  "species": ["Cd", "Cd", "Cd", "Cd", "Hg", "Hg", "Hg", "Hg", "Tl", "Tl", "Tl", "Tl", "Tl"],
  "frac_coords": [[0.5836, 0.3132, 0.5195], [0.8968, 0.5195, 0.6868], [0.1032, 0.4805, 0.3132], [0.4164, 0.6868, 0.4805], [0.2520, 0.6592, 0.8368], [0.0888, 0.1632, 0.6592], [0.7480, 0.3408, 0.1632], [0.9112, 0.8368, 0.3408], [0.0000, 0.0000, 0.0000], [0.3144, 0.0757, 0.2954], [0.3902, 0.2954, 0.9243], [0.6856, 0.9243, 0.7046], [0.6098, 0.7046, 0.0757]]
}

[6]
{
  "formula": "Tl3Cd2Hg",
  "functional": "PBE",
  "state": "optimized geometry",
  "e_form_ev_per_atom": 0.020,
  "space_group": "Cmcm",
  "dos_at_fermi_per_ev_cell": 3.55,
  "final_energy_ry_per_atom": -0.11163,
  "magmom_total_mub_per_fu": 0.000,
  "lattice_angstrom": [[5.9389, 0.0000, 0.0000], [0.0000, 7.5633, -0.4974], [0.0000, -0.5018, 7.5630]],
  "species": ["Hg", "Hg", "Tl", "Tl", "Tl", "Tl", "Tl", "Tl", "Cd", "Cd", "Cd", "Cd"],
  "frac_coords": [[0.7500, 0.3603, 0.6397], [0.2500, 0.6397, 0.3603], [0.2500, 0.0766, 0.5942], [0.2500, 0.9117, 0.0883], [0.7500, 0.0883, 0.9117], [0.2500, 0.4058, 0.9234], [0.7500, 0.9234, 0.4058], [0.7500, 0.5942, 0.0766], [0.5000, 0.7142, 0.7142], [0.0000, 0.7142, 0.7142], [0.0000, 0.2858, 0.2858], [0.5000, 0.2858, 0.2858]]
}